(1)
## KAl4Cr (PBE)

Data for an optimized crystal structure of KAl4Cr.

POSCAR file:
```
KAl4Cr
1.0
0.000 3.926 3.926
3.926 0.000 3.926
3.926 3.926 0.000
Al K Cr
4 1 1
Cartesian
4.903 2.948 4.903
4.903 4.903 2.948
2.948 2.948 2.948
2.948 4.903 4.903
0.000 0.000 0.000
5.888 5.888 5.888
```

ΔH_f (0 K): 0.36 eV per atom
space-group type: F-43m, No. 216
density: 2.73 g/cm3

---

(2)
## KAl2Cr (PBE)

Data for an optimized crystal structure of KAl2Cr.

POSCAR file:
```
KAl2Cr
1.0
-1.172 -4.669 0.061
0.416 -4.084 2.515
-6.198 0.916 3.793
Al Cr K
2 1 1
Cartesian
-5.649 0.683 3.493
-5.082 -5.903 4.697
-4.152 -3.640 3.555
-1.747 -1.980 1.603
```

ΔH_f (0 K): 0.49 eV per atom
space-group type: Cm, No. 8
density: 2.42 g/cm3
distance to the lowest polymorph of the same formula: 252.6 meV per atom

---

(3)
## K2AlCr (PBE)

Data for an optimized crystal structure of K2AlCr.

POSCAR file:
```
K2AlCr
1.0
6.813 0.078 0.064
2.790 6.216 -0.064
-4.101 -4.217 3.440
K Cr Al
2 1 1
Cartesian
0.208 0.136 0.000
3.487 -0.673 1.752
2.321 2.950 1.688
4.289 2.811 0.000
```

ΔH_f (0 K): 0.63 eV per atom
space-group type: Imm2, No. 44
density: 1.81 g/cm3

---

(4)
## KAlCr (PBE)

Data for an optimized crystal structure of KAlCr.

POSCAR file:
```
KAlCr
1.0
5.324 0.000 0.000
2.662 4.610 0.000
2.662 1.537 4.347
Cr K Al
1 1 1
Cartesian
5.324 3.074 2.173
2.662 1.537 1.087
0.000 0.000 0.000
```

ΔH_f (0 K): 1.48 eV per atom
space-group type: F-43m, No. 216
density: 1.84 g/cm3
distance to the lowest polymorph of the same formula: 956.2 meV per atom

---

(5)
## KAlCr2 (PBE)

Data for an optimized crystal structure of KAlCr2.

POSCAR file:
```
KAlCr2
1.0
-0.562 -2.089 2.213
0.813 -2.271 -1.936
8.788 -1.642 0.683
K Cr Al
1 2 1
Cartesian
4.771 -1.960 -0.638
0.964 -2.258 -1.886
1.341 -2.084 0.537
7.577 -3.926 0.383
```

ΔH_f (0 K): 0.46 eV per atom
space-group type: P4mm, No. 99
density: 3.51 g/cm3

---

(6)
## KAlCr2 (PBE)

Data for an optimized crystal structure of KAlCr2.

POSCAR file:
```
KAlCr2
1.0
-3.663 -0.890 -3.118
-3.759 -2.938 -1.080
-4.518 3.658 3.464
K Cr Al
1 2 1
Cartesian
-8.955 -0.128 -0.551
-7.933 -3.238 -3.630
-5.458 -0.675 -0.936
-2.985 -0.043 -0.184
```

ΔH_f (0 K): 0.72 eV per atom
space-group type: C2/m, No. 12
density: 3.10 g/cm3

---

(7)
## K2AlCr (PBE)

Data for an optimized crystal structure of K2AlCr.

POSCAR file:
```
K2AlCr
1.0
-5.054 0.462 2.296
-0.473 -3.808 -0.275
2.010 -4.200 5.271
K Cr Al
2 1 1
Cartesian
-0.464 -3.769 -0.262
0.759 -4.044 2.485
-1.374 -5.775 4.895
-2.143 -1.771 2.397
```

ΔH_f (0 K): 0.84 eV per atom
space-group type: P2/m, No. 10
density: 2.00 g/cm3

---

(8)
## KAlCr2 (PBE)

Data for an optimized crystal structure of KAlCr2.

POSCAR file:
```
KAlCr2
1.0
-2.666 -0.350 -1.631
-1.919 -3.474 3.883
-2.005 3.848 2.452
Al Cr K
1 2 1
Cartesian
-1.962 0.187 3.167
-2.292 -1.912 1.126
0.000 0.000 0.000
-2.335 1.749 0.410
```

ΔH_f (0 K): 1.15 eV per atom
space-group type: Pmmm, No. 47
density: 3.25 g/cm3

---

(9)
## KAlCr (PBE)

Data for an optimized crystal structure of KAlCr.

POSCAR file:
```
KAlCr
1.0
5.321 0.000 0.000
-2.661 4.609 0.000
0.000 0.000 3.120
Al Cr K
1 1 1
Cartesian
0.000 0.000 0.519
2.661 1.536 0.522
0.000 3.072 2.079
```

ΔH_f (0 K): 0.86 eV per atom
space-group type: P-6m2, No. 187
density: 2.56 g/cm3
distance to the lowest polymorph of the same formula: 329.9 meV per atom

---

(10)
## KAl2Cr (PBE)

Data for an optimized crystal structure of KAl2Cr.

POSCAR file:
```
KAl2Cr
1.0
5.307 0.000 0.000
0.000 5.307 0.000
0.000 0.000 3.024
Al Cr K
2 1 1
Cartesian
2.654 2.654 0.000
0.000 0.000 0.000
2.654 0.000 1.512
0.000 2.654 1.512
```

ΔH_f (0 K): 0.77 eV per atom
space-group type: P4/mmm, No. 123
density: 2.83 g/cm3
distance to the lowest polymorph of the same formula: 533.4 meV per atom

---

(11)
## K2AlCr (PBE)

Data for an optimized crystal structure of K2AlCr.

POSCAR file:
```
K2AlCr
1.0
3.391 0.000 0.000
0.000 3.391 0.000
0.000 0.000 11.394
Al Cr K
1 1 2
Cartesian
1.696 1.696 2.848
1.696 1.696 8.545
0.000 0.000 5.663
0.000 0.000 0.034
```

ΔH_f (0 K): 0.88 eV per atom
space-group type: P4/mmm, No. 123
density: 1.99 g/cm3

---

(12)
## KAlCr (PBE)

Data for an optimized crystal structure of KAlCr.

POSCAR file:
```
KAlCr
1.0
6.735 0.000 -0.003
4.725 4.800 0.003
-5.411 -3.161 2.467
Al K Cr
1 1 1
Cartesian
0.720 0.302 0.000
3.846 1.611 0.000
6.893 2.887 0.000
```

ΔH_f (0 K): 0.53 eV per atom
space-group type: Imm2, No. 44
density: 2.46 g/cm3
distance to the lowest polymorph of the same formula: 0.0 meV per atom

---

(13)
## KAlCr2 (PBE)

Data for an optimized crystal structure of KAlCr2.

POSCAR file:
```
KAlCr2
1.0
4.475 0.015 -0.009
3.496 2.795 -0.009
0.672 0.237 7.513
K Cr Al
1 2 1
Cartesian
4.329 1.526 3.795
6.382 2.249 6.501
0.669 0.236 7.337
2.257 0.795 1.122
```

ΔH_f (0 K): 0.66 eV per atom
space-group type: Cm, No. 8
density: 3.02 g/cm3

---

(14)
## KAl2Cr (PBE)

Data for an optimized crystal structure of KAl2Cr.

POSCAR file:
```
KAl2Cr
1.0
-2.156 -1.006 -2.331
2.284 -2.105 -1.203
-2.810 -6.018 5.197
Cr Al K
1 2 1
Cartesian
-1.152 -2.468 2.131
-0.676 -3.140 -0.398
-0.212 -0.453 0.392
-2.048 -6.077 2.138
```

ΔH_f (0 K): 0.45 eV per atom
space-group type: P4mm, No. 99
density: 2.57 g/cm3
distance to the lowest polymorph of the same formula: 216.6 meV per atom

---

(15)
## KAl3Cr (PBE)

Data for an optimized crystal structure of KAl3Cr.

POSCAR file:
```
KAl3Cr
1.0
-4.499 -2.968 0.351
1.665 -3.016 -4.159
2.481 -3.356 3.428
Al Cr K
3 1 1
Cartesian
-2.249 -1.484 0.175
0.833 -1.508 -2.079
1.241 -1.678 1.714
-0.176 -4.670 -0.190
0.000 0.000 0.000
```

ΔH_f (0 K): 1.89 eV per atom
space-group type: Pm-3m, No. 221
density: 1.81 g/cm3
distance to the lowest polymorph of the same formula: 1568.3 meV per atom

---

(16)
## KAl3Cr (PBE)

Data for an optimized crystal structure of KAl3Cr.

POSCAR file:
```
KAl3Cr
1.0
-3.751 -1.077 2.926
3.118 -1.256 3.534
-0.027 4.588 1.654
K Al Cr
1 3 1
Cartesian
-0.330 1.128 4.057
1.559 -0.628 1.767
-0.014 2.294 0.827
-1.875 -0.539 1.463
0.000 0.000 0.000
```

ΔH_f (0 K): 0.33 eV per atom
space-group type: Pm-3m, No. 221
density: 2.46 g/cm3
distance to the lowest polymorph of the same formula: 0.0 meV per atom

---

(17)
## KAl2Cr (PBE)

Data for an optimized crystal structure of KAl2Cr.

POSCAR file:
```
KAl2Cr
1.0
4.725 -0.040 0.051
3.830 2.767 0.051
0.601 0.192 7.389
K Al Cr
1 2 1
Cartesian
2.289 0.730 1.873
4.480 1.428 4.463
0.700 0.223 6.672
6.867 2.189 5.618
```

ΔH_f (0 K): 0.43 eV per atom
space-group type: C2/m, No. 12
density: 2.47 g/cm3
distance to the lowest polymorph of the same formula: 189.4 meV per atom

---

(18)
## KAl2Cr (PBE)

Data for an optimized crystal structure of KAl2Cr.

POSCAR file:
```
KAl2Cr
1.0
0.000 3.394 3.394
3.394 0.000 3.394
3.394 3.394 0.000
Al K Cr
2 1 1
Cartesian
1.697 1.697 1.697
5.091 5.091 5.091
0.000 0.000 0.000
3.394 3.394 3.394
```

ΔH_f (0 K): 1.04 eV per atom
space-group type: Fm-3m, No. 225
density: 3.08 g/cm3
distance to the lowest polymorph of the same formula: 803.8 meV per atom

---

(19)
## KAlCr2 (PBE)

Data for an optimized crystal structure of KAlCr2.

POSCAR file:
```
KAlCr2
1.0
2.902 0.000 0.000
0.000 4.135 0.000
0.000 0.000 7.199
K Cr Al
1 2 1
Cartesian
1.451 2.067 1.800
0.000 0.000 4.478
0.000 0.000 6.321
1.451 2.067 5.399
```

ΔH_f (0 K): 0.66 eV per atom
space-group type: Pmmm, No. 47
density: 3.27 g/cm3

---

(20)
## KAlCr2 (PBE)

Data for an optimized crystal structure of KAlCr2.

POSCAR file:
```
KAlCr2
1.0
-0.559 -1.007 -2.541
1.743 -1.569 1.511
-7.663 -4.986 3.661
Al K Cr
1 1 2
Cartesian
-5.543 -5.279 2.416
-3.783 -2.462 1.808
-0.823 -2.208 0.161
-0.161 -0.105 0.077
```

ΔH_f (0 K): 0.68 eV per atom
space-group type: Cmm2, No. 35
density: 4.05 g/cm3

---

(21)
## KAl2Cr (PBE)

Data for an optimized crystal structure of KAl2Cr.

POSCAR file:
```
KAl2Cr
1.0
10.262 -0.015 -0.009
9.849 2.881 -0.009
9.849 1.404 2.516
Al K Cr
2 1 1
Cartesian
15.510 2.210 1.293
29.430 4.194 2.454
22.470 3.202 1.874
7.490 1.067 0.625
```

ΔH_f (0 K): 0.48 eV per atom
space-group type: R-3m, No. 166
density: 3.21 g/cm3
distance to the lowest polymorph of the same formula: 247.9 meV per atom

---

(22)
## K2AlCr (PBE)

Data for an optimized crystal structure of K2AlCr.

POSCAR file:
```
K2AlCr
1.0
4.156 0.000 0.000
0.000 3.246 -0.187
0.000 2.148 10.070
Cr K Al
1 2 1
Cartesian
2.078 4.610 6.280
0.000 4.783 9.141
2.078 1.127 3.262
0.000 2.965 6.022
```

ΔH_f (0 K): 0.47 eV per atom
space-group type: Pm, No. 6
density: 1.90 g/cm3

---

(23)
## KAl2Cr (PBE)

Data for an optimized crystal structure of KAl2Cr.

POSCAR file:
```
KAl2Cr
1.0
4.934 -0.616 0.000
0.623 4.933 0.000
-2.779 -2.158 3.514
Cr K Al
1 1 2
Cartesian
2.779 2.158 0.000
2.467 -0.308 1.757
0.312 2.467 1.757
0.000 0.000 0.000
```

ΔH_f (0 K): 0.69 eV per atom
space-group type: F-43m, No. 216
density: 2.77 g/cm3
distance to the lowest polymorph of the same formula: 452.2 meV per atom

---

(24)
## KAlCr2 (PBE)

Data for an optimized crystal structure of KAlCr2.

POSCAR file:
```
KAlCr2
1.0
-1.538 -3.565 -3.202
2.161 -0.420 -4.526
2.979 -3.928 -1.012
K Al Cr
1 1 2
Cartesian
2.702 -5.935 -6.555
1.801 -3.957 -4.370
0.901 -1.978 -2.185
0.000 0.000 0.000
```

ΔH_f (0 K): 1.17 eV per atom
space-group type: F-43m, No. 216
density: 3.13 g/cm3

---

(25)
## KAlCr4 (PBE)

Data for an optimized crystal structure of KAlCr4.

POSCAR file:
```
KAlCr4
1.0
0.000 3.576 3.576
3.576 0.000 3.576
3.576 3.576 0.000
K Cr Al
1 4 1
Cartesian
5.365 5.365 5.365
4.455 4.455 2.698
2.698 2.698 2.698
4.455 2.698 4.455
2.698 4.455 4.455
0.000 0.000 0.000
```

ΔH_f (0 K): 1.05 eV per atom
space-group type: F-43m, No. 216
density: 4.97 g/cm3

---

(26)
## K2AlCr (PBE)

Data for an optimized crystal structure of K2AlCr.

POSCAR file:
```
K2AlCr
1.0
12.507 0.000 0.000
0.000 12.507 0.000
6.254 6.254 2.528
K Cr Al
4 2 2
Cartesian
11.449 3.127 0.632
15.634 5.195 1.896
13.566 9.380 0.632
9.380 7.312 1.896
0.000 0.000 0.000
12.507 6.254 1.264
6.254 12.507 1.264
6.254 6.254 0.000
```

ΔH_f (0 K): 0.76 eV per atom
space-group type: I-42d, No. 122
density: 1.32 g/cm3

---

(27)
## K2AlCr (PBE)

Data for an optimized crystal structure of K2AlCr.

POSCAR file:
```
K2AlCr
1.0
-3.750 -2.658 0.075
-0.139 -3.722 2.693
-4.724 3.072 7.764
K Cr Al
2 1 1
Cartesian
-4.226 -5.820 3.463
-6.121 -3.041 7.206
-2.583 -0.179 3.489
-3.877 -2.304 4.410
```

ΔH_f (0 K): 0.54 eV per atom
space-group type: Cm, No. 8
density: 1.54 g/cm3

---

(28)
## K2AlCr (PBE)

Data for an optimized crystal structure of K2AlCr.

POSCAR file:
```
K2AlCr
1.0
-1.492 1.820 -6.219
-0.299 -2.753 -6.046
-4.288 -1.156 -0.971
K Al Cr
2 1 1
Cartesian
-3.042 -1.045 -6.610
-4.285 -1.155 -0.979
-4.559 -1.567 -9.927
-1.520 -0.522 -3.309
```

ΔH_f (0 K): 0.82 eV per atom
space-group type: Immm, No. 71
density: 2.10 g/cm3

---

(29)
## K2AlCr (PBE)

Data for an optimized crystal structure of K2AlCr.

POSCAR file:
```
K2AlCr
1.0
-3.765 9.404 -6.716
-6.236 9.534 -4.236
-3.158 11.129 -3.728
Cr Al K
1 1 2
Cartesian
-3.290 7.517 -3.670
-9.869 22.551 -11.010
-6.558 14.984 -7.316
-0.022 0.049 -0.024
```

ΔH_f (0 K): 0.92 eV per atom
space-group type: R-3m, No. 166
density: 2.05 g/cm3

---

(30)
## KAlCr2 (PBE)

Data for an optimized crystal structure of KAlCr2.

POSCAR file:
```
KAlCr2
1.0
-6.828 -3.110 -7.240
-4.935 -5.014 -7.695
-6.813 -5.397 -5.760
Cr Al K
2 1 1
Cartesian
-9.021 -6.566 -10.050
-0.267 -0.195 -0.298
-13.932 -10.141 -15.522
-4.644 -3.380 -5.174
```

ΔH_f (0 K): 0.98 eV per atom
space-group type: R-3m, No. 166
density: 4.26 g/cm3